Record 1
Computed, not measured: an optimized crystal structure of Tl4Hg6Au at the PBE-GGA level of DFT.

V: 665.4 Å³ per cell
energy of formation: 0.008 eV/atom
size of the total moment: 0.00 Bohr magnetons per cell

Cell lengths 6.9746, 10.4964, 10.4962 Å; angles 120.00, 90.00, 90.00 degrees
Closest atoms and distances in Å follow each position.
Sites, in units of the cell vectors:
Tl: 0.7246 0.6667 0.3333  1 Au 3.12, 6 Hg 3.29-3.34
Tl: 0.2246 0.3333 0.6667  1 Au 3.12, 6 Hg 3.29-3.34
Tl: 0.0748 0.8148 0.6295  1 Au 3.04, 4 Hg 3.16-3.32
Tl: 0.0749 0.3705 0.1852  1 Au 3.04, 4 Hg 3.16-3.32
Tl: 0.0749 0.8148 0.1852  1 Au 3.04, 4 Hg 3.16-3.32
Tl: 0.5748 0.1852 0.3705  1 Au 3.04, 4 Hg 3.16-3.32
Tl: 0.5748 0.6295 0.8148  1 Au 3.04, 4 Hg 3.16-3.32
Tl: 0.5748 0.1852 0.8148  1 Au 3.04, 4 Hg 3.16-3.32
Hg: 0.5744 0.8408 0.6817  5 Tl 3.16-3.52, 2 Hg 3.39
Hg: 0.5744 0.3183 0.1592  5 Tl 3.16-3.52, 2 Hg 3.39
Hg: 0.5744 0.8408 0.1592  5 Tl 3.16-3.52, 2 Hg 3.39
Hg: 0.0744 0.1592 0.3183  5 Tl 3.16-3.52, 2 Hg 3.39
Hg: 0.0744 0.6817 0.8408  5 Tl 3.16-3.52, 2 Hg 3.39
Hg: 0.0744 0.1592 0.8408  5 Tl 3.16-3.52, 2 Hg 3.39
Hg: 0.3589 0.5071 0.0142  1 Au 2.96, 1 Tl 3.29
Hg: 0.3589 0.9858 0.4929  1 Au 2.96, 1 Tl 3.29
Hg: 0.3588 0.5071 0.4929  1 Au 2.96, 1 Tl 3.29
Hg: 0.8589 0.4929 0.9858  1 Au 2.96, 1 Tl 3.29
Hg: 0.8589 0.0142 0.5071  1 Au 2.96, 1 Tl 3.29
Hg: 0.8589 0.4929 0.5071  1 Au 2.96, 1 Tl 3.29
Au: 0.2778 0.6667 0.3333  3 Hg 2.96, 4 Tl 3.04-3.12
Au: 0.7778 0.3333 0.6667  3 Hg 2.96, 4 Tl 3.04-3.12

***

Record 2
Computed, not measured: an optimized crystal structure of Pr5AlIn4 at the PBE-GGA level of DFT.

V: 291.3 Å³ per cell
energy of formation: -0.461 eV/atom
size of the total moment: 0.00 Bohr magnetons per cell

Cell lengths 3.8688, 3.8688, 19.4638 Å; angles 90.00, 90.00, 90.00 degrees
Closest atoms and distances in Å follow each position.
Sites, in units of the cell vectors:
Pr: 0.5000 0.5000 0.0934  4 Al 3.28, 4 In 3.37, 1 Pr 3.64
Pr: 0.5000 0.5000 0.2960  8 In 3.37-3.38
Pr: 0.5000 0.5000 0.5000  8 In 3.38
Pr: 0.5000 0.5000 0.7040  8 In 3.37-3.38
Pr: 0.5000 0.5000 0.9066  4 Al 3.28, 4 In 3.37, 1 Pr 3.64
Al: 0.0000 0.0000 0.0000  8 Pr 3.28
In: 0.0000 0.0000 0.1948  8 Pr 3.37
In: 0.0000 0.0000 0.3981  8 Pr 3.38
In: 0.0000 0.0000 0.6019  8 Pr 3.38
In: 0.0000 0.0000 0.8052  8 Pr 3.37

***

Record 3
Computed, not measured: an optimized crystal structure of Ag2GeBO4 at the PBE-GGA level of DFT.

V: 95.7 Å³ per cell
formation energy (no corrections): -1.075 eV/atom
size of the total moment: 0.00 Bohr magnetons per cell

Cell lengths 5.0903, 5.0932, 5.1550 Å; angles 119.59, 119.57, 90.01 degrees
Closest atoms and distances in Å follow each position.
Sites, in units of the cell vectors:
Ag: 0.4859 0.9859 0.9720  4 O 2.49
Ag: 0.2358 0.2359 0.4714  4 O 2.60
Ge: 0.9859 0.4857 0.9716  4 O 1.83
B: 0.7359 0.7359 0.4718  4 O 1.50-1.51
O: 0.7426 0.6328 0.7024  1 B 1.51
O: 0.8390 0.5120 0.2412  1 B 1.50
O: 0.4022 0.7294 0.2418  1 B 1.51
O: 0.9597 0.0694 0.7018  1 B 1.51

***

Record 4
Computed, not measured: an optimized crystal structure of Ce2TmZn at the PBE-GGA level of DFT.

V: 108.3 Å³ per cell
energy of formation: -0.006 eV/atom
size of the total moment: 1.04 Bohr magnetons per cell
relative energy among the computed polymorphs: 0.00 eV/f.u.

Cell lengths 3.7341, 3.7341, 7.7686 Å; angles 90.00, 90.00, 90.00 degrees
Closest atoms and distances in Å follow each position.
Sites, in units of the cell vectors:
Zn: 0.5000 0.5000 0.0000  8 Ce 3.07
Tm: 0.5000 0.5000 0.5000  8 Ce 3.51, 4 Tm 3.73, 2 Zn 3.88
Ce: 0.0000 0.0000 0.7978  4 Zn 3.07, 1 Ce 3.14
Ce: 0.0000 0.0000 0.2022  4 Zn 3.07, 1 Ce 3.14

***

Record 5
Computed, not measured: an optimized crystal structure of ScBrN3 at the PBE-GGA level of DFT.

V: 80.2 Å³ per cell
formation energy (no corrections): 1.511 eV/atom
size of the total moment: 4.73 Bohr magnetons per cell

Cell lengths 4.3129, 4.3129, 4.3129 Å; angles 90.00, 90.00, 90.00 degrees
Closest atoms and distances in Å follow each position.
Sites, in units of the cell vectors:
Sc: 0.0000 0.0000 0.0000  6 N 2.16
Br: 0.5000 0.5000 0.5000  12 N 3.05
N: 0.0000 0.5000 0.0000  2 Sc 2.16
N: 0.0000 0.0000 0.5000  2 Sc 2.16
N: 0.5000 0.0000 0.0000  2 Sc 2.16

***

Record 6
Computed, not measured: an optimized crystal structure of Na3Ac3OsO8 at the PBE-GGA level of DFT.

V: 257.7 Å³ per cell
formation energy (no corrections): -2.139 eV/atom
size of the total moment: 2.00 Bohr magnetons per cell

Cell lengths 7.2896, 7.2891, 7.0054 Å; angles 121.35, 90.00, 120.00 degrees
Closest atoms and distances in Å follow each position.
Sites, in units of the cell vectors:
Na: 0.0000 0.0000 0.0000  6 O 2.58-2.60
Na: 0.0000 0.5000 0.0000  6 O 2.58-2.60
Na: 0.5000 0.5000 0.0000  6 O 2.58-2.60
Ac: 0.5000 0.0000 0.5000  6 O 2.46-2.55
Ac: 0.5000 0.5000 0.5000  6 O 2.46-2.55
Ac: 0.0000 0.5000 0.5000  6 O 2.46-2.55
Os: 0.0000 0.0000 0.5000  6 O 2.11
O: 0.2573 0.5145 0.2718  3 Ac 2.46, 3 Na 2.60
O: 0.7427 0.4855 0.7282  3 Ac 2.46, 3 Na 2.60
O: 0.7917 0.5835 0.2988  1 Os 2.11
O: 0.2083 0.4165 0.7012  1 Os 2.11
O: 0.7918 0.0070 0.2988  1 Os 2.11
O: 0.2082 0.9930 0.7012  1 Os 2.11
O: 0.2152 0.0070 0.2988  1 Os 2.11
O: 0.7848 0.9930 0.7012  1 Os 2.11

***

Record 7
Computed, not measured: an optimized crystal structure of IrC at the PBE-GGA level of DFT.

V: 48.7 Å³ per cell
energy of formation: 0.904 eV/atom
size of the total moment: 0.00 Bohr magnetons per cell
relative energy among the computed polymorphs: 0.89 eV/f.u.

Cell lengths 3.3293, 3.3293, 5.0741 Å; angles 90.00, 90.00, 120.00 degrees
Closest atoms and distances in Å follow each position.
Sites, in units of the cell vectors:
C: 0.0000 0.0000 0.9760  4 Ir 2.01-2.09
C: 0.6667 0.3333 0.2740  4 Ir 2.01-2.09
Ir: 0.0000 0.0000 0.3889  4 C 2.01-2.09
Ir: 0.6667 0.3333 0.8611  4 C 2.01-2.09

***

Record 8
Computed, not measured: an optimized crystal structure of ErTm5Bi5 at the PBE-GGA level of DFT.

V: 354.5 Å³ per cell
energy of formation: -0.584 eV/atom
size of the total moment: 0.00 Bohr magnetons per cell

Cell lengths 6.2052, 7.5500, 8.7503 Å; angles 106.77, 90.00, 114.26 degrees
Closest atoms and distances in Å follow each position.
Sites, in units of the cell vectors:
Er: 0.0000 0.0000 0.0000  6 Bi 3.10-3.14
Tm: 0.6628 0.3256 0.3368  5 Bi 3.07-3.10
Tm: 0.6626 0.3252 0.8260  5 Bi 3.08-3.14
Tm: 0.0000 0.0000 0.5000  4 Bi 3.07-3.10
Tm: 0.3374 0.6748 0.1740  5 Bi 3.08-3.14
Tm: 0.3372 0.6744 0.6632  5 Bi 3.07-3.10
Bi: 0.8296 0.6591 0.1678  5 Tm 3.10-3.14, 1 Er 3.14
Bi: 0.8331 0.6662 0.6641  5 Tm 3.07-3.10, 1 Er 3.11
Bi: 0.5000 0.0000 0.0000  4 Tm 3.08-3.09, 2 Er 3.10
Bi: 0.1669 0.3338 0.3359  5 Tm 3.07-3.10, 1 Er 3.11
Bi: 0.1704 0.3409 0.8322  5 Tm 3.10-3.14, 1 Er 3.14

***

Record 9
Computed, not measured: an optimized crystal structure of LiBeAg2 at the PBE-GGA level of DFT.

V: 57.2 Å³ per cell
energy of formation: 0.029 eV/atom
size of the total moment: 0.00 Bohr magnetons per cell

Cell lengths 4.9533, 4.9533, 4.2922 Å; angles 72.36, 72.36, 34.97 degrees
Closest atoms and distances in Å follow each position.
Sites, in units of the cell vectors:
Ag: 0.9995 0.9995 0.0326  4 Be 2.56-2.67, 3 Li 2.63-2.78
Ag: 0.7698 0.7698 0.6916  2 Be 2.49, 4 Li 2.60-2.66
Be: 0.4928 0.4928 0.5528  6 Ag 2.49-2.67, 2 Li 2.74
Li: 0.2379 0.2379 0.2230  7 Ag 2.60-2.78, 2 Be 2.74

***

Record 10
Computed, not measured: an optimized crystal structure of Li4TbCd2 at the PBE-GGA level of DFT.

V: 142.1 Å³ per cell
energy of formation: -0.077 eV/atom
size of the total moment: 0.02 Bohr magnetons per cell

Cell lengths 3.7260, 3.7260, 10.5719 Å; angles 100.15, 100.15, 90.00 degrees
Closest atoms and distances in Å follow each position.
Sites, in units of the cell vectors:
Li: 0.1501 0.1501 0.3002  4 Li 2.77, 4 Cd 2.81, 1 Tb 3.07
Li: 0.8499 0.8499 0.6998  4 Li 2.77, 4 Cd 2.81, 1 Tb 3.07
Li: 0.7500 0.2500 0.5000  8 Li 2.63-2.77
Li: 0.2500 0.7500 0.5000  8 Li 2.63-2.77
Tb: 0.0000 0.0000 0.0000  2 Li 3.07, 8 Cd 3.37
Cd: 0.6027 0.6027 0.2053  4 Li 2.81
Cd: 0.3973 0.3973 0.7947  4 Li 2.81

***

Record 11
Computed, not measured: an optimized crystal structure of Sr2Mg at the PBE-GGA level of DFT.

V: 266.5 Å³ per cell
energy of formation: -0.024 eV/atom
size of the total moment: 0.00 Bohr magnetons per cell

Cell lengths 7.0851, 7.0851, 7.0851 Å; angles 104.41, 104.41, 120.14 degrees
Closest atoms and distances in Å follow each position.
Sites, in units of the cell vectors:
Mg: 0.2500 0.2500 0.0000  2 Mg 3.53, 8 Sr 3.69
Mg: 0.7500 0.7500 0.0000  2 Mg 3.53, 8 Sr 3.69
Sr: 0.1666 0.3334 0.5000  4 Mg 3.69, 3 Sr 4.09
Sr: 0.3334 0.8334 0.1667  4 Mg 3.69, 3 Sr 4.09
Sr: 0.6666 0.1666 0.8333  4 Mg 3.69, 3 Sr 4.09
Sr: 0.8334 0.6666 0.5000  4 Mg 3.69, 3 Sr 4.09

***

Record 12
Computed, not measured: an optimized crystal structure of VPdRhS4 at the PBE-GGA level of DFT.

V: 247.3 Å³ per cell
formation energy (no corrections): -0.552 eV/atom
size of the total moment: 2.22 Bohr magnetons per cell

Cell lengths 6.7701, 7.0568, 7.0568 Å; angles 62.33, 61.34, 61.34 degrees
Closest atoms and distances in Å follow each position.
Sites, in units of the cell vectors:
V: 0.5000 0.0000 0.5000  6 S 2.39
V: 0.0000 0.0000 0.5000  6 S 2.39
Pd: 0.6318 0.6182 0.1182  4 S 2.33-2.35
Pd: 0.3682 0.3818 0.8818  4 S 2.33-2.35
Rh: 0.0000 0.0000 0.0000  6 S 2.40-2.41
Rh: 0.0000 0.5000 0.5000  6 S 2.40-2.41
S: 0.7599 0.7603 0.7200  1 Pd 2.35, 2 V 2.39, 1 Rh 2.41
S: 0.2401 0.7800 0.7397  1 Pd 2.35, 2 V 2.39, 1 Rh 2.41
S: 0.7599 0.2200 0.2603  1 Pd 2.35, 2 V 2.39, 1 Rh 2.41
S: 0.2401 0.2397 0.2800  1 Pd 2.35, 2 V 2.39, 1 Rh 2.41
S: 0.2172 0.7619 0.2619  1 Pd 2.33, 1 V 2.39, 2 Rh 2.40
S: 0.7590 0.7619 0.2619  1 Pd 2.33, 1 V 2.39, 2 Rh 2.40
S: 0.2410 0.2381 0.7381  1 Pd 2.33, 1 V 2.39, 2 Rh 2.40
S: 0.7828 0.2381 0.7381  1 Pd 2.33, 1 V 2.39, 2 Rh 2.40

***

Q: What is the V in the seventh record?
A: 48.7 Å³ per cell

***

Q: size of the total moment of number 6 (Na3Ac3OsO8)?
A: 2.00 Bohr magnetons per cell